Record 1
First-principles (GGA-PBEsol) data for an optimized crystal structure of NaTl2Pb2, as listed in Alexandria.

Properties
- D(E_F): 2.27 states/eV per cell
- E above lowest polymorph: 0.0479 eV/atom
- Crystal system: tetragonal
- DFT formation energy: 0.25 eV/f.u.

a = 8.1838 Å, b = 8.1838 Å, c = 8.1838 Å
α = 147.16°, β = 147.16°, γ = 47.12°
Closest atoms and distances in Å follow each position.
Fractional positions:
Na (0.0000, 0.0000, 0.0000)  8 Pb 3.62
Tl (0.2500, 0.7500, 0.5000)  4 Pb 3.19, 4 Tl 3.27
Tl (0.7500, 0.2500, 0.5000)  4 Pb 3.19, 4 Tl 3.27
Pb (0.3969, 0.3969, 0.0000)  1 Pb 3.09, 4 Tl 3.19
Pb (0.6031, 0.6031, 0.0000)  1 Pb 3.09, 4 Tl 3.19



Record 2
First-principles (GGA-PBEsol) data for an optimized crystal structure of CoNi2As, as listed in Alexandria.

Properties
- D(E_F): 4.89 states/eV per cell
- Crystal system: tetragonal
- DFT formation energy: -0.48 eV/f.u.

a = 4.2005 Å, b = 4.2005 Å, c = 4.2005 Å
α = 129.00°, β = 129.00°, γ = 75.00°
Closest atoms and distances in Å follow each position.
Fractional positions:
Co (0.0000, 0.0000, 0.0000)  8 Ni 2.46-2.56, 4 As 2.46
Ni (0.5000, 0.5000, 0.0000)  4 As 2.46, 4 Ni 2.46, 4 Co 2.56
Ni (0.7500, 0.2500, 0.5000)  4 Ni 2.46, 4 Co 2.46, 4 As 2.56
As (0.2500, 0.7500, 0.5000)  8 Ni 2.46-2.56, 4 Co 2.46



Record 3
First-principles (GGA-PBEsol) data for an optimized crystal structure of K2PAu, as listed in Alexandria.

Properties
- Crystal system: monoclinic
- DFT formation energy: -1.54 eV/f.u.

a = 5.8183 Å, b = 5.8183 Å, c = 5.6450 Å
α = 118.95°, β = 118.95°, γ = 44.44°
Closest atoms and distances in Å follow each position.
Fractional positions:
K (0.0000, 0.0000, 0.0000)  4 K 3.27-3.67, 4 P 3.37-3.52, 1 Au 3.47
K (0.1807, 0.1807, 0.6804)  4 K 3.27-3.67, 4 Au 3.35-3.54, 1 P 3.50
P (0.7993, 0.7993, 0.2996)  2 Au 2.32
Au (0.3783, 0.3783, 0.3777)  2 P 2.32



Record 4
First-principles (GGA-PBEsol) data for an optimized crystal structure of YZnAgOs2, as listed in Alexandria.

Properties
- D(E_F): 7.63 states/eV per cell
- Crystal system: tetragonal
- DFT formation energy: 7.50 eV/f.u.

a = 4.8400 Å, b = 4.8400 Å, c = 4.4501 Å
α = 90.00°, β = 90.00°, γ = 90.00°
Closest atoms and distances in Å follow each position.
Fractional positions:
Y (0.0000, 0.0000, 0.0000)  8 Os 3.29, 4 Zn 3.42
Zn (0.5000, 0.5000, 0.0000)  2 Ag 2.23
Ag (0.5000, 0.5000, 0.5000)  2 Zn 2.23, 4 Os 2.42
Os (0.0000, 0.5000, 0.5000)  2 Ag 2.42
Os (0.5000, 0.0000, 0.5000)  2 Ag 2.42



Record 5
First-principles (GGA-PBEsol) data for an optimized crystal structure of ZrAlZn, as listed in Alexandria.

Properties
- D(E_F): 1.06 states/eV per cell
- Crystal system: hexagonal
- DFT formation energy: -1.38 eV/f.u.

a = 4.2999 Å, b = 4.2999 Å, c = 3.1953 Å
α = 90.00°, β = 90.00°, γ = 120.00°
Closest atoms and distances in Å follow each position.
Fractional positions:
Zr (0.0000, 0.0000, 0.0000)  6 Zn 2.95, 6 Al 2.95, 2 Zr 3.20
Al (0.3333, 0.6667, 0.5000)  3 Zn 2.48
Zn (0.6667, 0.3333, 0.5000)  3 Al 2.48



Record 6
First-principles (GGA-PBEsol) data for an optimized crystal structure of HfTi2SnSb, as listed in Alexandria.

Properties
- D(E_F): 5.66 states/eV per cell
- Formation energy from raw total energies: 1.009 eV/atom
- Crystal system: tetragonal

a = 4.8753 Å, b = 4.8753 Å, c = 5.4512 Å
α = 90.00°, β = 90.00°, γ = 90.00°
Closest atoms and distances in Å follow each position.
Fractional positions:
Hf (0.0000, 0.0000, 0.0000)  4 Sn 3.45, 8 Ti 3.66
Ti (0.0000, 0.5000, 0.5000)  2 Sb 2.44
Ti (0.5000, 0.0000, 0.5000)  2 Sb 2.44
Sn (0.5000, 0.5000, 0.0000)  2 Sb 2.73
Sb (0.5000, 0.5000, 0.5000)  4 Ti 2.44, 2 Sn 2.73



Record 7
First-principles (GGA-PBEsol) data for an optimized crystal structure of SrZr2Se, as listed in Alexandria.

Properties
- D(E_F): 3.58 states/eV per cell
- Formation energy from raw total energies: -0.391 eV/atom
- Crystal system: monoclinic

a = 6.5452 Å, b = 6.5452 Å, c = 5.1136 Å
α = 111.86°, β = 111.86°, γ = 28.95°
Closest atoms and distances in Å follow each position.
Fractional positions:
Sr (0.0000, 0.0000, 0.0000)  4 Se 3.04, 2 Sr 3.27
Zr (0.2022, 0.2022, 0.6912)  2 Se 2.88, 2 Zr 3.13
Zr (0.7978, 0.7978, 0.3088)  2 Se 2.88, 2 Zr 3.13
Se (0.5000, 0.5000, 0.5000)  4 Zr 2.88, 4 Sr 3.04



Record 8
First-principles (GGA-PBEsol) data for an optimized crystal structure of RbFeMo2O8, as listed in Alexandria.

Properties
- D(E_F): 5.74 states/eV per cell
- Formation energy from raw total energies: -1.838 eV/atom
- Crystal system: trigonal

a = 5.5449 Å, b = 5.5449 Å, c = 7.3743 Å
α = 90.00°, β = 90.00°, γ = 120.00°
Closest atoms and distances in Å follow each position.
Fractional positions:
Rb (0.0000, 0.0000, 0.0000)  12 O 3.01-3.22
Fe (0.0000, 0.0000, 0.5000)  6 O 1.86
Mo (0.3333, 0.6667, 0.7205)  4 O 1.73-1.78
Mo (0.6667, 0.3333, 0.2795)  4 O 1.73-1.78
O (0.1572, 0.3145, 0.6464)  1 Mo 1.78, 1 Fe 1.86
O (0.1572, 0.8428, 0.6464)  1 Mo 1.78, 1 Fe 1.86
O (0.3145, 0.1572, 0.3536)  1 Mo 1.78, 1 Fe 1.86
O (0.3333, 0.6667, 0.9545)  1 Mo 1.73
O (0.6667, 0.3333, 0.0455)  1 Mo 1.73
O (0.6855, 0.8428, 0.6464)  1 Mo 1.78, 1 Fe 1.86
O (0.8428, 0.1572, 0.3536)  1 Mo 1.78, 1 Fe 1.86
O (0.8428, 0.6855, 0.3536)  1 Mo 1.78, 1 Fe 1.86



Record 9
First-principles (GGA-PBEsol) data for an optimized crystal structure of ZnReAs2, as listed in Alexandria.

Properties
- D(E_F): 2.62 states/eV per cell
- Crystal system: monoclinic
- DFT formation energy: 1.77 eV/f.u.

a = 4.4462 Å, b = 4.4462 Å, c = 3.1690 Å
α = 90.10°, β = 90.10°, γ = 103.25°
Closest atoms and distances in Å follow each position.
Fractional positions:
Zn (0.0000, 0.0000, 0.0000)  8 As 2.73, 2 Re 2.76
Re (0.5000, 0.5000, 0.0000)  8 As 2.73, 2 Zn 2.76
As (0.0000, 0.5000, 0.5000)  4 Re 2.73, 4 Zn 2.73, 2 As 2.76
As (0.5000, 0.0000, 0.5000)  4 Re 2.73, 4 Zn 2.73, 2 As 2.76



Record 10
First-principles (GGA-PBEsol) data for an optimized crystal structure of CeBeSiHO5, as listed in Alexandria.

Properties
- D(E_F): 30.27 states/eV per cell
- Crystal system: monoclinic

a = 5.7917 Å, b = 7.2648 Å, c = 10.1032 Å
α = 90.00°, β = 119.72°, γ = 90.00°
Closest atoms and distances in Å follow each position.
Fractional positions:
Ce (0.0189, 0.0138, 0.3152)  7 O 2.33-2.60
Ce (0.0189, 0.4862, 0.8152)  7 O 2.33-2.60
Ce (0.9811, 0.5138, 0.1848)  7 O 2.33-2.60
Ce (0.9811, 0.9862, 0.6848)  7 O 2.33-2.60
Be (0.4364, 0.6304, 0.5331)  4 O 1.59-1.67
Be (0.4364, 0.8696, 0.0331)  4 O 1.59-1.67
Be (0.5636, 0.1304, 0.9669)  4 O 1.59-1.67
Be (0.5636, 0.3696, 0.4669)  4 O 1.59-1.67
Si (0.4656, 0.2315, 0.6929)  4 O 1.63-1.66
Si (0.4656, 0.2685, 0.1929)  4 O 1.63-1.66
Si (0.5344, 0.7315, 0.8071)  4 O 1.63-1.66
Si (0.5344, 0.7685, 0.3071)  4 O 1.63-1.66
H (0.0755, 0.6753, 0.5083)  1 O 0.99
H (0.0755, 0.8247, 0.0083)  1 O 0.99
H (0.9245, 0.1753, 0.9917)  1 O 0.99
H (0.9245, 0.3247, 0.4917)  1 O 0.99
O (0.1341, 0.6901, 0.4318)  1 H 0.99
O (0.1341, 0.8099, 0.9318)  1 H 0.99
O (0.2161, 0.6803, 0.7132)  1 Si 1.64, 1 H 1.81
O (0.2161, 0.8197, 0.2132)  1 Si 1.64, 1 H 1.81
O (0.2718, 0.0742, 0.5752)  1 Si 1.63
O (0.2718, 0.4258, 0.0752)  1 Si 1.63
O (0.3625, 0.2477, 0.3195)  1 Be 1.62, 1 Si 1.66
O (0.3625, 0.2523, 0.8195)  1 Be 1.62, 1 Si 1.66
O (0.4579, 0.0880, 0.0902)  1 Si 1.66, 2 Be 1.67
O (0.4579, 0.4120, 0.5902)  1 Si 1.66, 2 Be 1.67
O (0.5421, 0.5880, 0.4098)  1 Si 1.66, 2 Be 1.67
O (0.5421, 0.9120, 0.9098)  1 Si 1.66, 2 Be 1.67
O (0.6375, 0.7477, 0.1805)  1 Be 1.62, 1 Si 1.66
O (0.6375, 0.7523, 0.6805)  1 Be 1.62, 1 Si 1.66
O (0.7282, 0.5742, 0.9248)  1 Si 1.63
O (0.7282, 0.9258, 0.4248)  1 Si 1.63
O (0.7839, 0.1803, 0.7868)  1 Si 1.64, 1 H 1.81
O (0.7839, 0.3197, 0.2868)  1 Si 1.64, 1 H 1.81
O (0.8659, 0.1901, 0.0682)  1 H 0.99
O (0.8659, 0.3099, 0.5682)  1 H 0.99



Record 11
First-principles (GGA-PBEsol) data for an optimized crystal structure of LaInPCl2, as listed in Alexandria.

Properties
- D(E_F): 3.60 states/eV per cell
- Formation energy from raw total energies: -0.885 eV/atom
- Crystal system: tetragonal

a = 5.4412 Å, b = 5.4412 Å, c = 5.5607 Å
α = 90.00°, β = 90.00°, γ = 90.00°
Closest atoms and distances in Å follow each position.
Fractional positions:
La (0.0000, 0.0000, 0.0000)  4 Cl 2.72, 2 P 2.78
In (0.5000, 0.5000, 0.5000)  4 P 3.85, 8 Cl 3.89
P (0.0000, 0.0000, 0.5000)  2 La 2.78
Cl (0.0000, 0.5000, 0.0000)  2 La 2.72
Cl (0.5000, 0.0000, 0.0000)  2 La 2.72



Record 12
First-principles (GGA-PBEsol) data for an optimized crystal structure of DyYAg2, as listed in Alexandria.

Properties
- D(E_F): 2.27 states/eV per cell
- Crystal system: cubic
- DFT formation energy: -1.34 eV/f.u.

a = 5.0514 Å, b = 5.0514 Å, c = 5.0514 Å
α = 60.00°, β = 60.00°, γ = 60.00°
Closest atoms and distances in Å follow each position.
Fractional positions:
Dy (0.0000, 0.0000, 0.0000)  8 Ag 3.09
Y (0.5000, 0.5000, 0.5000)  8 Ag 3.09
Ag (0.2500, 0.2500, 0.2500)  4 Dy 3.09, 4 Y 3.09
Ag (0.7500, 0.7500, 0.7500)  4 Dy 3.09, 4 Y 3.09



Record 13
First-principles (GGA-PBEsol) data for an optimized crystal structure of Fe3SnHg, as listed in Alexandria.

Properties
- D(E_F): 8.17 states/eV per cell
- Crystal system: cubic
- DFT formation energy: 7.23 eV/f.u.

a = 4.7043 Å, b = 4.7043 Å, c = 4.7043 Å
α = 90.00°, β = 90.00°, γ = 90.00°
Closest atoms and distances in Å follow each position.
Fractional positions:
Fe (0.0000, 0.0000, 0.5000)  2 Sn 2.35
Fe (0.0000, 0.5000, 0.0000)  2 Sn 2.35
Fe (0.5000, 0.0000, 0.0000)  2 Sn 2.35
Sn (0.0000, 0.0000, 0.0000)  6 Fe 2.35
Hg (0.5000, 0.5000, 0.5000)  12 Fe 3.33



Number 1: M_tot 0.0 μB/f.u., E -2.88 eV/atom. Number 2: M_tot 0.0 μB/f.u., E -6.41 eV/atom. Number 3: M_tot 0.0 μB/f.u., E -3.38 eV/atom. Number 4: M_tot 1.1 μB/f.u., E -5.73 eV/atom. Number 5: M_tot 0.0 μB/f.u., E -5.38 eV/atom. Number 6: M_tot 0.0 μB/f.u., E -6.18 eV/atom. Number 7: M_tot 0.0 μB/f.u., E -6.36 eV/atom. Number 8: M_tot 1.0 μB/f.u., E -8.13 eV/atom. Number 9: M_tot 0.0 μB/f.u., E -5.84 eV/atom. Number 10: M_tot 1.0 μB/f.u., E -7.73 eV/atom. Number 11: M_tot 0.0 μB/f.u., E -4.51 eV/atom. Number 12: M_tot 0.0 μB/f.u., E -4.94 eV/atom. Number 13: M_tot 8.1 μB/f.u., E -4.90 eV/atom.